## Mg6MnNi (PBE)

Data for a relaxed structure of Mg6MnNi.

For the energy relative to the lowest polymorph listed for this composition, the calculation gives 0.000 eV per atom. The calculated volume is 19.1 Å³/atom. For the density of states at the Fermi level, the calculation gives 0.62 states/eV per atom. The calculated total energy comes out at -47.28 eV per cell. The formation energy is 0.9 eV per formula unit.

The structure belongs to space group Amm2 (No. 38); the cell edges are 4.762, 6.017 and 10.648 Å and the angles 90.00°, 90.00° and 90.00°. The asymmetric unit holds Mg at (0.000, 0.000, 0.000), Mg at (0.000, 0.237, 0.253), Mg at (0.500, 0.000, 0.834), Mg at (0.500, 0.240, 0.578), Mn at (0.000, 0.000, 0.486) and Ni at (0.500, 0.000, 0.352).